Entry 1:
Below is an optimized crystal structure of Zr4Co2CN, with properties calculated at the PBE level.

a = 3.2506 Å, b = 3.2506 Å, c = 13.1587 Å
α = 90.00°, β = 90.00°, γ = 120.00°
Space group P-3m1 (No. 164)
Inequivalent atoms, fractional coordinates:
Zr (0.3333, 0.6667, 0.1026) x2
Zr (0.3333, 0.6667, 0.3971) x2
Co (0.3333, 0.6667, 0.7473) x2
C (0.0000, 0.0000, 0.0000) x1
N (0.0000, 0.0000, 0.5000) x1

Summary:
The electronic total energy is -8.808 eV/atom. Its crystal system is trigonal.

Entry 2:
Below is an optimized crystal structure of Nb4Co2C, with properties calculated at the PBE level.

a = 11.692 Å, b = 11.692 Å, c = 11.692 Å
α = 90.00°, β = 90.00°, γ = 90.00°
Space group Fd-3m (No. 227, origin choice 2)
Inequivalent atoms, fractional coordinates:
Nb (0.000, 0.000, 0.000) x16
Nb (0.063, 0.375, 0.875) x48
Co (0.046, 0.046, 0.204) x32
C (0.000, 0.000, 0.500) x16

Summary:
The electronic total energy is -9.392 eV/atom. Its crystal system is cubic.

Entry 3:
Below is an optimized crystal structure of Nb3Co3C, with properties calculated at the PBE level.

a = 11.338 Å, b = 11.338 Å, c = 11.338 Å
α = 90.00°, β = 90.00°, γ = 90.00°
Space group Fd-3m (No. 227, origin choice 2)
Inequivalent atoms, fractional coordinates:
Nb (0.075, 0.375, 0.375) x48
Co (0.000, 0.000, 0.500) x16
Co (0.047, 0.047, 0.703) x32
C (0.000, 0.000, 0.000) x16

Summary:
The electronic total energy is -8.955 eV/atom. Its crystal system is cubic.

Entry 4:
Below is an optimized crystal structure of Nb4CoC3, with properties calculated at the PBE level.

a = 3.1514 Å, b = 3.1514 Å, c = 23.1140 Å
α = 90.00°, β = 90.00°, γ = 120.00°
Space group P6_3/mmc (No. 194)
Inequivalent atoms, fractional coordinates:
Nb (0.0000, 0.0000, 0.1678) x4
Nb (0.3333, 0.6667, 0.0579) x4
Co (0.3333, 0.6667, 0.2500) x2
C (0.0000, 0.0000, 0.0000) x2
C (0.3333, 0.6667, 0.6152) x4

Summary:
The electronic total energy is -9.732 eV/atom. Its crystal system is hexagonal.

Entry 5:
Below is an optimized crystal structure of Nb4CoPC2, with properties calculated at the PBE level.

a = 3.2018 Å, b = 3.2018 Å, c = 12.2546 Å
α = 90.00°, β = 90.00°, γ = 120.00°
Space group P-6m2 (No. 187)
Inequivalent atoms, fractional coordinates:
Nb (0.0000, 0.0000, 0.1441) x2
Nb (0.3333, 0.6667, 0.3462) x2
Co (0.0000, 0.0000, 0.5000) x1
P (0.3333, 0.6667, 0.0000) x1
C (0.6667, 0.3333, 0.2482) x2

Summary:
The electronic total energy is -9.374 eV/atom. Its crystal system is hexagonal.

Entry 6:
Below is an optimized crystal structure of Nb4CoPbC2, with properties calculated at the PBE level.

a = 3.1860 Å, b = 3.1860 Å, c = 13.6693 Å
α = 90.00°, β = 90.00°, γ = 120.00°
Space group P-6m2 (No. 187)
Inequivalent atoms, fractional coordinates:
Nb (0.0000, 0.0000, 0.1393) x2
Nb (0.3333, 0.6667, 0.3186) x2
Co (0.3333, 0.6667, 0.0000) x1
Pb (0.0000, 0.0000, 0.5000) x1
C (0.6667, 0.3333, 0.2293) x2

Summary:
The electronic total energy is -8.899 eV/atom. Its crystal system is hexagonal.

Entry 7:
Below is an optimized crystal structure of Nb4CoC2S, with properties calculated at the PBE level.

a = 3.1969 Å, b = 3.1969 Å, c = 12.2713 Å
α = 90.00°, β = 90.00°, γ = 120.00°
Space group P-6m2 (No. 187)
Inequivalent atoms, fractional coordinates:
Nb (0.0000, 0.0000, 0.1472) x2
Nb (0.6667, 0.3333, 0.3464) x2
Co (0.0000, 0.0000, 0.5000) x1
C (0.3333, 0.6667, 0.2494) x2
S (0.6667, 0.3333, 0.0000) x1

Summary:
The electronic total energy is -9.221 eV/atom. Its crystal system is hexagonal.

Entry 8:
Below is an optimized crystal structure of Nb4CoSbC2, with properties calculated at the PBE level.

a = 3.2253 Å, b = 3.2253 Å, c = 13.0557 Å
α = 90.00°, β = 90.00°, γ = 120.00°
Space group P-6m2 (No. 187)
Inequivalent atoms, fractional coordinates:
Nb (0.0000, 0.0000, 0.1438) x2
Nb (0.3333, 0.6667, 0.3293) x2
Co (0.3333, 0.6667, 0.0000) x1
Sb (0.0000, 0.0000, 0.5000) x1
C (0.6667, 0.3333, 0.2364) x2

Summary:
The electronic total energy is -9.000 eV/atom. Its crystal system is hexagonal.

Entry 9:
Below is an optimized crystal structure of Sc4Nb2Co3C3, with properties calculated at the PBE level.

a = 9.510 Å, b = 5.517 Å, c = 13.362 Å
α = 90.00°, β = 103.10°, γ = 90.00°
Space group C2/c (No. 15)
Inequivalent atoms, fractional coordinates:
Sc (0.115, 0.077, 0.098) x8
Sc (0.216, 0.086, 0.402) x8
Nb (0.056, 0.414, 0.903) x8
Co (0.000, 0.091, 0.250) x4
Co (0.248, 0.171, 0.750) x8
C (0.075, 0.274, 0.500) x8
C (0.250, 0.250, 0.000) x4

Summary:
The electronic total energy is -8.041 eV/atom. Its crystal system is monoclinic.

Entry 10:
Below is an optimized crystal structure of Nb4CoSnC2, with properties calculated at the PBE level.

a = 3.1699 Å, b = 3.1699 Å, c = 13.4765 Å
α = 90.00°, β = 90.00°, γ = 120.00°
Space group P-6m2 (No. 187)
Inequivalent atoms, fractional coordinates:
Nb (0.0000, 0.0000, 0.1406) x2
Nb (0.6667, 0.3333, 0.3244) x2
Co (0.6667, 0.3333, 0.0000) x1
Sn (0.0000, 0.0000, 0.5000) x1
C (0.3333, 0.6667, 0.2320) x2

Summary:
The electronic total energy is -9.030 eV/atom. Its crystal system is hexagonal.

Entry 11:
Below is an optimized crystal structure of Ta2Nb4Co3C3, with properties calculated at the PBE level.

a = 9.291 Å, b = 5.346 Å, c = 13.258 Å
α = 90.00°, β = 103.64°, γ = 90.00°
Space group C2/c (No. 15)
Inequivalent atoms, fractional coordinates:
Ta (0.046, 0.083, 0.390) x8
Nb (0.115, 0.416, 0.595) x8
Nb (0.219, 0.416, 0.905) x8
Co (0.000, 0.492, 0.750) x4
Co (0.209, 0.124, 0.750) x8
C (0.080, 0.239, 0.000) x8
C (0.250, 0.250, 0.500) x4

Summary:
The electronic total energy is -9.635 eV/atom. Its crystal system is monoclinic.

Entry 12:
Below is an optimized crystal structure of Y2Nb4Co3C3, with properties calculated at the PBE level.

a = 9.574 Å, b = 5.534 Å, c = 13.533 Å
α = 90.00°, β = 104.11°, γ = 90.00°
Space group C2/c (No. 15)
Inequivalent atoms, fractional coordinates:
Y (0.039, 0.083, 0.374) x8
Nb (0.113, 0.409, 0.591) x8
Nb (0.223, 0.419, 0.909) x8
Co (0.000, 0.419, 0.750) x4
Co (0.248, 0.163, 0.751) x8
C (0.086, 0.259, 0.000) x8
C (0.250, 0.250, 0.500) x4

Summary:
The electronic total energy is -8.863 eV/atom. Its crystal system is monoclinic.